Record 1
# PaBe2AsO8

A geometry-optimized PaBe2AsO8 structure (PBE, the Alexandria database).

```
data_PaBe2AsO8
_space_group_name_H-M_alt 'P 1'
_space_group_IT_number 1
_space_group_name_Hall 'P 1'
_cell_length_a 5.0453
_cell_length_b 5.0453
_cell_length_c 6.1565
_cell_angle_alpha 90.00
_cell_angle_beta 90.00
_cell_angle_gamma 120.00
loop_
_atom_site_label
_atom_site_fract_x
_atom_site_fract_y
_atom_site_fract_z
O1 0.3333 0.6667 0.4818
O2 0.3145 0.1573 0.1957
O3 0.1573 0.8427 0.8043
As1 0.0000 0.0000 0.0000
O4 0.8427 0.6855 0.1957
Be1 0.6667 0.3333 0.2554
O5 0.1573 0.3145 0.8043
Be2 0.3333 0.6667 0.7446
Pa1 0.0000 0.0000 0.5000
O6 0.6855 0.8427 0.8043
O7 0.8427 0.1573 0.1957
O8 0.6667 0.3333 0.5182
```

Computed properties:
Raw total energy: -6.958 eV per atom
Space-group type: P-3m1, No. 164
Theoretical density: 5530 kg/m³
Uncorrected formation energy: -1.8523 eV/atom
DOS at the Fermi energy: 0.573 states/eV per atom

***

Record 2
# Tl2In3Ga5

A geometry-optimized Tl2In3Ga5 structure (PBE, the Alexandria database).

```
data_Tl2In3Ga5
_space_group_name_H-M_alt 'P 1'
_space_group_IT_number 1
_space_group_name_Hall 'P 1'
_cell_length_a 6.3131
_cell_length_b 9.4427
_cell_length_c 9.4427
_cell_angle_alpha 82.56
_cell_angle_beta 70.47
_cell_angle_gamma 70.47
loop_
_atom_site_label
_atom_site_fract_x
_atom_site_fract_y
_atom_site_fract_z
In1 0.7500 0.0000 0.0000
Tl1 0.6221 0.1120 0.6439
Ga1 0.2500 0.5000 0.5000
In2 0.6205 0.5282 0.2308
Ga2 0.8557 0.0125 0.2760
Ga3 0.7500 0.5000 0.5000
Tl2 0.8779 0.3561 0.8880
Ga4 0.9941 0.2559 0.2559
Tl3 0.3779 0.8880 0.3561
Tl4 0.1221 0.6439 0.1120
In3 0.3795 0.4718 0.7692
Ga5 0.0059 0.7441 0.7441
Ga6 0.4941 0.2559 0.2559
In4 0.2500 0.0000 0.0000
Ga7 0.5059 0.7441 0.7441
In5 0.8795 0.7692 0.4718
Ga8 0.6443 0.7240 0.9875
In6 0.1205 0.2308 0.5282
Ga9 0.1443 0.9875 0.7240
Ga10 0.3557 0.2760 0.0125
```

Computed properties:
Raw total energy: -2.764 eV per atom
Space-group type: Ibam, No. 72
Theoretical density: 7320 kg/m³
Energy of formation: 0.044 eV per atom
DOS at the Fermi energy: 0.403 states/eV per atom

***

Record 3
# LiNdPa4N8

A geometry-optimized LiNdPa4N8 structure (PBE, the Alexandria database).

```
data_LiNdPa4N8
_space_group_name_H-M_alt 'P 1'
_space_group_IT_number 1
_space_group_name_Hall 'P 1'
_cell_length_a 7.1051
_cell_length_b 7.1051
_cell_length_c 6.6521
_cell_angle_alpha 57.72
_cell_angle_beta 57.72
_cell_angle_gamma 60.00
loop_
_atom_site_label
_atom_site_fract_x
_atom_site_fract_y
_atom_site_fract_z
N1 0.2594 0.2594 0.6893
N2 0.2258 0.7525 0.2691
Pa1 0.4963 0.9988 0.5061
N3 0.7525 0.7525 0.2691
Pa2 0.6042 0.6042 0.1875
N4 0.7920 0.2594 0.6893
Pa3 0.9988 0.4963 0.5061
N5 0.7512 0.7512 0.7465
Li1 0.9970 0.9970 0.0090
Nd1 0.3798 0.3798 0.8606
Pa4 0.9988 0.9988 0.5061
N6 0.7525 0.2258 0.2691
N7 0.2594 0.7920 0.6893
N8 0.2323 0.2323 0.3031
```

Computed properties:
Raw total energy: -9.366 eV per atom
Space-group type: R3m, No. 160
Theoretical density: 8612 kg/m³
Uncorrected formation energy: -1.4181 eV/atom
DOS at the Fermi energy: 0.000 states/eV per atom